# 1
A plane-wave DFT calculation with GGA-PBE was carried out for a relaxed structure of NaPmP2O8. Values from VASP.

ΔE_f (raw) = -2.25 eV per atom

Quantum ESPRESSO input file:
```
&SYSTEM
  ibrav = 0, nat = 12, ntyp = 4
/
ATOMIC_SPECIES
Na 22.99 Na.upf
Pm 145.00 Pm.upf
P 30.97 P.upf
O 16.00 O.upf
CELL_PARAMETERS angstrom
-3.555 3.555 3.141
3.555 -3.555 3.141
3.555 3.555 -3.141
ATOMIC_POSITIONS angstrom
Na 0.000 0.000 0.000
Pm 3.555 0.000 1.571
P 0.000 0.000 3.141
P 0.000 3.555 1.571
O 2.306 3.555 -0.911
O 1.250 0.000 2.230
O 0.000 2.331 0.622
O 3.555 2.306 0.911
O 0.000 4.780 0.622
O 0.000 1.250 4.053
O -1.225 3.555 2.519
O 1.225 3.555 2.519
```


# 2
A plane-wave DFT calculation with GGA-PBE was carried out for a relaxed structure of NaPmPO4. Values from VASP.

ΔE_f (raw) = -2.37 eV per atom

Quantum ESPRESSO input file:
```
&SYSTEM
  ibrav = 0, nat = 14, ntyp = 4
/
ATOMIC_SPECIES
Na 22.99 Na.upf
Pm 145.00 Pm.upf
P 30.97 P.upf
O 16.00 O.upf
CELL_PARAMETERS angstrom
-3.143 3.232 4.518
3.143 -3.232 4.518
3.143 3.232 -4.518
ATOMIC_POSITIONS angstrom
Na -1.571 1.616 2.259
Na 1.571 1.616 2.259
Pm 0.000 0.000 0.000
Pm 0.000 3.232 0.000
P 3.143 1.616 -1.211
P 0.000 1.616 5.729
O 3.143 -0.331 2.099
O 3.143 2.901 -2.099
O 1.868 1.616 -0.284
O 4.417 1.616 -0.284
O -1.274 1.616 4.802
O 1.274 1.616 4.802
O 0.000 0.331 6.617
O 0.000 3.563 2.418
```


# 3
A plane-wave DFT calculation with GGA-PBE was carried out for a relaxed structure of Na3PrP2O8. Values from VASP.

ΔE_f (raw) = -2.54 eV per atom

Quantum ESPRESSO input file:
```
&SYSTEM
  ibrav = 0, nat = 112, ntyp = 4
/
ATOMIC_SPECIES
Na 22.99 Na.upf
Pr 140.91 Pr.upf
P 30.97 P.upf
O 16.00 O.upf
CELL_PARAMETERS angstrom
14.162 0.000 0.000
0.000 5.410 0.000
0.000 0.000 18.825
ATOMIC_POSITIONS angstrom
Na 0.435 0.182 1.126
Na 0.665 2.652 15.435
Na 1.610 5.394 13.557
Na 1.927 2.655 0.000
Na 2.869 5.293 16.987
Na 3.098 2.754 12.484
Na 3.983 2.754 3.072
Na 4.212 5.293 7.574
Na 5.154 2.655 9.413
Na 5.471 5.394 4.145
Na 6.416 2.652 6.022
Na 6.646 0.182 10.539
Na 7.516 5.227 1.126
Na 7.746 2.758 15.435
Na 8.690 0.016 13.557
Na 9.008 2.755 0.000
Na 9.950 0.117 16.987
Na 10.179 2.656 12.484
Na 11.063 2.656 3.072
Na 11.293 0.117 7.574
Na 12.235 2.755 9.413
Na 12.552 0.016 4.145
Na 13.497 2.758 6.022
Na 13.727 5.227 10.539
Pr 1.624 2.361 8.907
Pr 1.928 0.245 4.662
Pr 5.153 0.245 14.074
Pr 5.457 2.361 18.320
Pr 8.705 3.048 8.907
Pr 9.009 5.165 4.662
Pr 12.234 5.165 14.074
Pr 12.538 3.048 18.320
P 0.286 5.293 7.453
P 0.319 2.842 2.868
P 3.234 5.215 10.700
P 3.262 2.749 6.115
P 3.819 2.749 15.528
P 3.847 5.215 1.288
P 6.762 2.842 12.280
P 6.795 5.293 16.866
P 7.367 0.117 7.453
P 7.400 2.567 2.868
P 10.315 0.195 10.700
P 10.342 2.661 6.115
P 10.900 2.661 15.528
P 10.928 0.195 1.288
P 13.842 2.567 12.280
P 13.876 0.117 16.866
O 0.015 2.665 1.347
O 0.103 1.446 17.565
O 0.167 0.154 15.375
O 0.413 4.339 17.592
O 0.491 4.367 3.192
O 0.810 3.171 13.146
O 1.661 2.094 3.151
O 1.720 2.542 6.097
O 1.826 0.111 7.489
O 1.885 0.559 10.477
O 2.733 0.451 0.439
O 3.070 3.705 10.298
O 3.144 1.580 14.750
O 3.345 2.732 17.010
O 3.415 4.095 14.870
O 3.536 5.252 2.817
O 3.545 5.252 12.229
O 3.666 4.095 5.458
O 3.736 2.732 7.597
O 3.937 1.580 5.337
O 4.011 3.705 0.886
O 4.348 0.451 9.852
O 5.196 0.559 1.065
O 5.255 0.111 16.902
O 5.361 2.542 15.510
O 5.420 2.094 12.563
O 6.271 3.171 3.733
O 6.590 4.367 12.605
O 6.668 4.339 8.180
O 6.914 0.154 5.963
O 6.978 1.446 8.153
O 7.066 2.665 10.759
O 7.096 2.745 1.347
O 7.184 3.964 17.565
O 7.248 5.256 15.375
O 7.493 1.070 17.592
O 7.572 1.043 3.192
O 7.891 2.238 13.146
O 8.742 3.316 3.151
O 8.801 2.868 6.097
O 8.906 5.299 7.489
O 8.965 4.851 10.477
O 9.814 4.959 0.439
O 10.151 1.705 10.298
O 10.225 3.830 14.750
O 10.425 2.677 17.010
O 10.496 1.315 14.870
O 10.617 0.158 2.817
O 10.625 0.158 12.229
O 10.747 1.315 5.458
O 10.817 2.677 7.597
O 11.018 3.830 5.337
O 11.092 1.705 0.886
O 11.428 4.959 9.852
O 12.277 4.851 1.065
O 12.336 5.299 16.902
O 12.442 2.868 15.510
O 12.500 3.316 12.563
O 13.351 2.238 3.733
O 13.670 1.043 12.605
O 13.749 1.070 8.180
O 13.995 5.256 5.963
O 14.059 3.964 8.153
O 14.147 2.745 10.759
```


# 4
A plane-wave DFT calculation with GGA-PBE was carried out for a relaxed structure of NaPr2PO6. Values from VASP.

ΔE_f (raw) = -2.60 eV per atom

Quantum ESPRESSO input file:
```
&SYSTEM
  ibrav = 0, nat = 10, ntyp = 4
/
ATOMIC_SPECIES
Na 22.99 Na.upf
Pr 140.91 Pr.upf
P 30.97 P.upf
O 16.00 O.upf
CELL_PARAMETERS angstrom
5.331 0.000 0.000
0.000 5.331 0.000
0.000 0.000 4.594
ATOMIC_POSITIONS angstrom
Na 0.000 0.000 0.000
Pr 0.000 2.666 2.024
Pr 2.666 0.000 2.024
P 2.666 2.666 0.098
O 0.000 0.000 2.410
O 1.525 1.525 0.527
O 1.525 3.806 0.527
O 2.666 2.666 3.088
O 3.806 1.525 0.527
O 3.806 3.806 0.527
```


# 5
A plane-wave DFT calculation with GGA-PBE was carried out for a relaxed structure of NaPPtO5. Values from VASP.

ΔE_f (raw) = -1.48 eV per atom

Quantum ESPRESSO input file:
```
&SYSTEM
  ibrav = 0, nat = 16, ntyp = 4
/
ATOMIC_SPECIES
Na 22.99 Na.upf
P 30.97 P.upf
Pt 195.08 Pt.upf
O 16.00 O.upf
CELL_PARAMETERS angstrom
3.331 -4.375 0.000
3.331 4.375 0.000
-3.150 0.000 6.472
ATOMIC_POSITIONS angstrom
Na 0.969 3.001 4.854
Na 2.544 -3.001 1.618
P 2.544 2.729 1.618
P 0.969 -2.729 4.854
Pt 3.331 0.000 0.000
Pt 1.757 0.000 3.236
O -1.702 0.693 5.907
O 1.459 1.863 2.335
O -0.127 -0.693 2.671
O 3.629 1.863 0.901
O 0.969 0.817 4.854
O 2.544 -0.817 1.618
O -0.116 -1.863 5.571
O 3.641 0.693 3.801
O 2.054 -1.863 4.137
O 5.216 -0.693 0.565
```


# 6
A plane-wave DFT calculation with GGA-PBE was carried out for a relaxed structure of NaPu2PO8. Values from VASP.

ΔE_f (raw) = -2.26 eV per atom

Quantum ESPRESSO input file:
```
&SYSTEM
  ibrav = 0, nat = 12, ntyp = 4
/
ATOMIC_SPECIES
Na 22.99 Na.upf
Pu 244.00 Pu.upf
P 30.97 P.upf
O 16.00 O.upf
CELL_PARAMETERS angstrom
3.378 -3.273 0.000
3.378 3.273 0.000
-0.413 0.000 6.711
ATOMIC_POSITIONS angstrom
Na 0.000 0.000 0.000
Pu 2.924 0.000 4.978
Pu 3.420 0.000 1.733
P -0.207 0.000 3.356
O 3.136 2.103 2.122
O 3.208 2.103 4.589
O 1.622 0.000 3.323
O 2.170 0.000 0.166
O 4.174 0.000 6.545
O 4.722 0.000 3.388
O 3.136 -2.103 2.122
O 3.208 -2.103 4.589
```


What did the fourth record say?
A plane-wave DFT calculation with GGA-PBE was carried out for a relaxed structure of NaPr2PO6. Values from VASP.

ΔE_f (raw) = -2.60 eV per atom

Quantum ESPRESSO input file:
```
&SYSTEM
  ibrav = 0, nat = 10, ntyp = 4
/
ATOMIC_SPECIES
Na 22.99 Na.upf
Pr 140.91 Pr.upf
P 30.97 P.upf
O 16.00 O.upf
CELL_PARAMETERS angstrom
5.331 0.000 0.000
0.000 5.331 0.000
0.000 0.000 4.594
ATOMIC_POSITIONS angstrom
Na 0.000 0.000 0.000
Pr 0.000 2.666 2.024
Pr 2.666 0.000 2.024
P 2.666 2.666 0.098
O 0.000 0.000 2.410
O 1.525 1.525 0.527
O 1.525 3.806 0.527
O 2.666 2.666 3.088
O 3.806 1.525 0.527
O 3.806 3.806 0.527
```


- Which of these has the highest ΔE_f (raw)?
  NaPPtO5


- ΔE_f (raw) of number 5 (NaPPtO5)?
  -1.48 eV per atom